[1]
The following is a GGA-PBE calculation of K2CdFe after structural relaxation, from Alexandria.

Output
Final energy = -2.079 eV/atom
ΔH_f (0 K) = 0.81 eV/atom
N(E_F) = 5.2 states/eV per cell
Calculated volume = 31.382 Å³/atom

Unit cell a=12.006 b=12.006 c=12.006 alpha=16.76 beta=16.76 gamma=16.76
Site moments in Bohr magnetons follow the coordinates.
Fractional coordinates of all 4 atoms:
K 0.494 0.494 0.494  -0.02
K 0.006 0.006 0.006  -0.02
Cd 0.250 0.250 0.250  0.00
Fe 0.750 0.750 0.750  3.05

---

[2]
The following is a GGA-PBE calculation of Tl8InTe6 after structural relaxation, from Alexandria.

Output
Final energy = -2.944 eV/atom
Formation energy without anion corrections = -243 meV per atom
N(E_F) = 16.5 states/eV per cell
Calculated volume = 37.999 Å³/atom

Unit cell a=10.158 b=9.265 c=12.113 alpha=90.00 beta=90.00 gamma=90.00
Fractional coordinates of all 30 atoms:
In 0.736 0.000 0.477
In 0.264 0.500 0.977
Te 0.651 0.000 0.025
Te 0.507 0.500 0.861
Te 0.737 0.738 0.600
Te 0.953 0.500 0.300
Te 0.030 0.500 0.845
Te 0.047 0.000 0.800
Te 0.737 0.262 0.600
Te 0.970 0.000 0.345
Te 0.263 0.238 0.100
Te 0.349 0.500 0.525
Te 0.493 0.000 0.361
Te 0.263 0.762 0.100
Tl 0.811 0.786 0.859
Tl 0.059 0.285 0.636
Tl 0.653 0.500 0.415
Tl 0.560 0.753 0.189
Tl 0.811 0.214 0.859
Tl 0.059 0.715 0.636
Tl 0.189 0.286 0.359
Tl 0.347 0.000 0.915
Tl 0.941 0.215 0.136
Tl 0.750 0.500 0.043
Tl 0.560 0.247 0.189
Tl 0.440 0.747 0.689
Tl 0.250 0.000 0.543
Tl 0.941 0.785 0.136
Tl 0.189 0.714 0.359
Tl 0.440 0.253 0.689

---

[3]
The following is a GGA-PBE calculation of Cs2RbMnBr6 after structural relaxation, from Alexandria.

Output
Final energy = -3.528 eV/atom
Formation energy without anion corrections = -1340 meV per atom
N(E_F) = 4.3 states/eV per cell
Calculated volume = 44.241 Å³/atom

Unit cell a=8.423 b=7.788 c=7.788 alpha=120.00 beta=90.00 gamma=90.00
Site moments in Bohr magnetons follow the coordinates.
Fractional coordinates of all 10 atoms:
Br 0.179 0.844 0.687  -0.01
Br 0.179 0.844 0.156  -0.01
Br 0.821 0.156 0.313  -0.01
Br 0.821 0.687 0.844  -0.01
Br 0.821 0.156 0.844  -0.01
Br 0.179 0.313 0.156  -0.01
Mn 0.000 0.000 0.000  3.80
Cs 0.150 0.333 0.667  0.00
Cs 0.850 0.667 0.333  0.00
Rb 0.500 0.000 0.000  0.00

---

[4]
The following is a GGA-PBE calculation of Mo2PbCl after structural relaxation, from Alexandria.

Output
Final energy = -5.776 eV/atom
Energy above the lowest structure with this stoichiometry = 0.9625 eV/atom
Formation energy without anion corrections = 1029 meV per atom
N(E_F) = 3.9 states/eV per cell
Calculated volume = 18.539 Å³/atom

Unit cell a=4.715 b=4.715 c=4.715 alpha=119.96 beta=119.96 gamma=90.06
Site moments in Bohr magnetons follow the coordinates.
Fractional coordinates of all 4 atoms:
Cl 0.750 0.250 0.500  -0.03
Mo 0.000 0.000 0.000  1.21
Mo 0.500 0.500 0.000  1.21
Pb 0.250 0.750 0.500  -0.06

---

[5]
The following is a GGA-PBE calculation of Y2SbW after structural relaxation, from Alexandria.

Output
Final energy = -7.413 eV/atom
Formation energy without anion corrections = 88 meV per atom
N(E_F) = 6.2 states/eV per cell
Calculated volume = 25.432 Å³/atom

Unit cell a=3.542 b=3.542 c=8.109 alpha=90.00 beta=90.00 gamma=90.00
Fractional coordinates of all 4 atoms:
W 0.500 0.500 0.707
Y 0.000 0.000 0.943
Y 0.500 0.500 0.301
Sb 0.000 0.000 0.549

---

[6]
The following is a GGA-PBE calculation of TlP2Rh after structural relaxation, from Alexandria.

Output
Final energy = -4.913 eV/atom
Energy above the lowest structure with this stoichiometry = 0.3890 eV/atom
ΔH_f (0 K) = 0.22 eV/atom
N(E_F) = 1.7 states/eV per cell
Calculated volume = 19.461 Å³/atom

Unit cell a=5.799 b=5.799 c=5.799 alpha=151.33 beta=122.85 gamma=65.18
Fractional coordinates of all 4 atoms:
Rh 0.750 0.250 0.500
P 0.945 0.945 0.000
P 0.555 0.555 0.000
Tl 0.250 0.750 0.500

---

Copy entry 4 word for word.
The following is a GGA-PBE calculation of Mo2PbCl after structural relaxation, from Alexandria.

Output
Final energy = -5.776 eV/atom
Energy above the lowest structure with this stoichiometry = 0.9625 eV/atom
Formation energy without anion corrections = 1029 meV per atom
N(E_F) = 3.9 states/eV per cell
Calculated volume = 18.539 Å³/atom

Unit cell a=4.715 b=4.715 c=4.715 alpha=119.96 beta=119.96 gamma=90.06
Site moments in Bohr magnetons follow the coordinates.
Fractional coordinates of all 4 atoms:
Cl 0.750 0.250 0.500  -0.03
Mo 0.000 0.000 0.000  1.21
Mo 0.500 0.500 0.000  1.21
Pb 0.250 0.750 0.500  -0.06

---

- Number 4 is which compound?
  Mo2PbCl

---

- Among the records above, which one has the lowest final energy?
  Y2SbW

---

What did the fifth record say?
The following is a GGA-PBE calculation of Y2SbW after structural relaxation, from Alexandria.

Output
Final energy = -7.413 eV/atom
Formation energy without anion corrections = 88 meV per atom
N(E_F) = 6.2 states/eV per cell
Calculated volume = 25.432 Å³/atom

Unit cell a=3.542 b=3.542 c=8.109 alpha=90.00 beta=90.00 gamma=90.00
Fractional coordinates of all 4 atoms:
W 0.500 0.500 0.707
Y 0.000 0.000 0.943
Y 0.500 0.500 0.301
Sb 0.000 0.000 0.549